VASP calculation (GGA-PBE) on Pr2Cu5Ge4 after structural relaxation.

Values from the calculation:
SG: Fmmm (69)

The structure in POSCAR format:
```
Pr2Cu5Ge4
1.0
-2.497 -0.206 5.217
1.968 -3.340 4.020
3.043 5.148 4.870
Ge Cu Pr
4 5 2
Direct
0.221 0.284 0.274
0.505 0.716 0.274
0.495 0.284 0.726
0.779 0.716 0.726
0.750 0.500 0.500
0.000 0.500 0.000
0.250 0.500 0.500
0.500 0.500 0.000
0.500 0.000 0.000
0.856 0.000 0.287
0.144 0.000 0.713
```

=====

VASP calculation (GGA-PBE) on PrCuGe2 after structural relaxation.

Values from the calculation:
SG: Cm (8)

The structure in POSCAR format:
```
PrCuGe2
1.0
-2.722 -1.639 -2.786
0.518 -3.817 1.739
-2.532 3.609 3.557
Ge Cu Pr
2 1 1
Direct
0.192 0.070 0.384
0.933 0.806 0.865
0.813 0.186 0.625
0.563 0.437 0.125
```

=====

VASP calculation (GGA-PBE) on Pr2Cu3Ge3 after structural relaxation.

Values from the calculation:
SG: Amm2 (38)

The structure in POSCAR format:
```
Pr2Cu3Ge3
1.0
-5.274 5.117 5.310
1.394 -6.068 -6.590
-0.172 -3.120 2.837
Ge Pr Cu
3 2 3
Direct
0.923 0.077 0.500
0.516 0.484 0.500
0.724 0.276 0.000
0.364 0.636 0.000
0.157 0.843 0.500
0.788 0.212 0.500
0.003 0.997 0.000
0.585 0.415 0.000
```

=====

no.,energy of formation (kJ per mole of atoms),energy (eV per atom)
1,-29,-4.71
2,-43,-4.97
3,-47,-4.95